A relaxed structure of CaDy6Tm5, computed with PBE-GGA.

Its crystal system is orthorhombic. As for the density of states at the Fermi level: 33.6 states/eV per cell. As for the electronic total energy: -4.279 eV/atom.

It has space group Cmmm (No. 65), with a = 5.0057 Å, b = 15.0467 Å, c = 9.9986 Å, α = 90.00°, β = 90.00° and γ = 90.00°. Symmetry generates all atoms from Ca at (0.0000, 0.0000, 0.0000), Dy at (0.0000, 0.1697, 0.2540), Dy at (0.0000, 0.5000, 0.2593), Tm at (0.0000, 0.0000, 0.5000), Tm at (0.0000, 0.3276, 0.0000) and Tm at (0.0000, 0.3331, 0.5000).

***

A relaxed structure of Tm2CdRu, computed with PBE-GGA.

Its crystal system is cubic. As for the density of states at the Fermi level: 15.7 states/eV per cell. As for the energy above the most stable polymorph in this dataset: 130.1 meV/atom.

It has space group Fm-3m (No. 225), with a = 7.0209 Å, b = 7.0209 Å, c = 7.0209 Å, α = 90.00°, β = 90.00° and γ = 90.00°. Symmetry generates all atoms from Tm at (0.2500, 0.2500, 0.2500), Cd at (0.0000, 0.0000, 0.0000) and Ru at (0.0000, 0.0000, 0.5000).

***

A relaxed structure of AcPrErPu, computed with PBE-GGA.

Its crystal system is cubic. As for the density of states at the Fermi level: 60.8 states/eV per cell. As for the electronic total energy: -6.674 eV/atom.

It has space group F-43m (No. 216), with a = 8.2495 Å, b = 8.2495 Å, c = 8.2495 Å, α = 90.00°, β = 90.00° and γ = 90.00°. Symmetry generates all atoms from Ac at (0.0000, 0.0000, 0.0000), Pr at (0.2500, 0.2500, 0.2500), Er at (0.2500, 0.2500, 0.7500) and Pu at (0.0000, 0.0000, 0.5000).

***

A relaxed structure of Ce4SiH, computed with PBE-GGA.

Its crystal system is monoclinic. As for the density of states at the Fermi level: 51.5 states/eV per cell. As for the electronic total energy: -5.730 eV/atom.

It has space group C2/c (No. 15), with a = 7.1006 Å, b = 13.9668 Å, c = 5.8297 Å, α = 90.00°, β = 115.37° and γ = 90.00°. Symmetry generates all atoms from Ce at (0.0651, 0.2036, 0.0614), Ce at (0.2447, 0.0680, 0.6750), Si at (0.0000, 0.3879, 0.7500) and H at (0.0000, 0.0436, 0.2500).

***

A relaxed structure of Gd2TePd, computed with PBE-GGA.

Its crystal system is trigonal. As for the density of states at the Fermi level: 10.9 states/eV per cell. The raw formation energy comes out at -1.062 eV/atom. As for the energy above the most stable polymorph in this dataset: 0.0 meV/atom.

It has space group R-3m (No. 166, hexagonal axes), with a = 4.1609 Å, b = 4.1609 Å, c = 22.3541 Å, α = 90.00°, β = 90.00° and γ = 120.00°. Symmetry generates all atoms from Gd at (0.0000, 0.0000, 0.2394), Te at (0.0000, 0.0000, 0.0000) and Pd at (0.0000, 0.0000, 0.5000).

***

A relaxed structure of Pr5TlS8, computed with PBE-GGA.

Its crystal system is tetragonal. The raw formation energy comes out at -1.860 eV/atom.

It has space group I-4 (No. 82), with a = 8.7813 Å, b = 8.7813 Å, c = 8.6730 Å, α = 90.00°, β = 90.00° and γ = 90.00°. Symmetry generates all atoms from Pr at (0.0000, 0.0000, 0.0000), Pr at (0.1341, 0.7528, 0.6207), Tl at (0.0000, 0.5000, 0.2500), S at (0.0746, 0.6831, 0.9372) and S at (0.0795, 0.8386, 0.3015).